28
Lattice="-5.9168 -7.0462 -5.9714 8.4430 2.4002 -6.6394 2.4593 -5.8321 9.0036" Properties=species:S:1:pos:R:3 comment="Nb3Tl2I9, relaxed, DFT PBE" m_tot_mub_per_cell=0.0 e_tot_ry_per_atom=-0.2955 pbc="T T T"
Nb -1.0786 -3.1021 -2.0451
Nb 6.0642 -7.3761 -1.5621
Nb -2.9022 -5.5071 -2.2131
Nb 6.9228 -6.2987 1.1285
Nb 7.8877 -4.9711 -1.3941
Nb -1.9372 -4.1795 -4.7357
Tl 4.3066 -1.1692 -2.5477
Tl 2.6031 -6.6617 -6.0898
Tl 0.6790 -9.3090 -1.0595
Tl 2.3824 -3.8165 2.4826
I 0.7502 -7.6365 2.7520
I 5.3793 -5.2822 3.7912
I 7.8053 -1.9445 -2.5511
I -0.3937 -5.1960 -7.3984
I 3.2551 -8.0073 -2.9688
I 1.7305 -2.4709 -0.6384
I 0.7748 -3.8126 -4.0450
I 5.4659 -4.9389 -2.8434
I 4.2108 -6.6657 0.4378
I -0.4803 -5.5393 -0.7639
I 6.5232 -3.5466 0.6288
I 3.1578 -4.2209 -9.8404
I -1.5869 -10.7486 2.5635
I 1.8278 -6.2573 6.2332
I 6.5724 0.2703 -6.1707
I 4.2354 -2.8417 -6.3592
I -1.5376 -6.9316 -4.2360
I -2.8197 -8.5337 -1.0562